6
Lattice="4.0944 0.0000 0.0000 0.0000 4.0944 0.0000 -2.0472 -2.0472 10.1271" Properties=species:S:1:pos:R:3 comment="BaMnGe (PBE, relaxed)" magnetic_moment_mub_per_fu=2.4 space_group="I4/mmm (139)" formation_enthalpy_0k_kj_per_mol_fu=-52 pbc="T T T"
Ge 0.0000 0.0000 1.4976
Ge 2.0472 2.0472 8.6295
Ba 0.0000 0.0000 7.0630
Ba 2.0472 2.0472 3.0641
Mn 2.0472 0.0000 0.0000
Mn 0.0000 2.0472 0.0000

4
Lattice="0.0000 3.6573 3.6573 3.6573 0.0000 3.6573 3.6573 3.6573 0.0000" Properties=species:S:1:pos:R:3 comment="BaMnGe2 (PBE, relaxed)" magnetic_moment_mub_per_fu=4.0 space_group="Fm-3m (225)" formation_enthalpy_0k_kj_per_mol_fu=74 pbc="T T T"
Ge 1.8286 1.8286 1.8286
Ge 5.4859 5.4859 5.4859
Mn 0.0000 0.0000 0.0000
Ba 3.6573 3.6573 3.6573

5
Lattice="4.1422 0.0000 0.0000 0.0000 4.1422 0.0000 2.0711 2.0711 6.0559" Properties=species:S:1:pos:R:3 comment="BaMn2Ge2 (PBE, relaxed)" magnetic_moment_mub_per_fu=4.4 space_group="I4/mmm (139)" formation_enthalpy_0k_kj_per_mol_fu=-111 pbc="T T T"
Ge 2.0711 2.0711 1.7597
Ge 4.1422 4.1422 4.2963
Mn 4.1422 2.0711 3.0280
Mn 2.0711 4.1422 3.0280
Ba 0.0000 0.0000 0.0000